1.
First-principles (GGA-PBE) data for an optimized crystal structure of Er3ScS6, as listed in Alexandria.

Calculated values
raw formation energy: -2.02 eV per atom
size of the total moment: 0.00 μB per atom
excess energy over the best structure of this formula in the dataset: 10 meV/atom
space-group type: P2_1/m
crystal system: monoclinic
V: 436.9 Å³ per cell

Cell: 3.8549 10.8886 11.0409 Å, 70.52 90.00 90.00°
Closest atoms and distances in Å follow each position.
Fractional coordinates of all 20 atoms:
Er 0.7500 0.5473 0.8073  8 S 2.78-2.96
Er 0.2500 0.4527 0.1927  8 S 2.78-2.96
Er 0.7500 0.1805 0.0027  7 S 2.66-2.93
Er 0.2500 0.8195 0.9973  7 S 2.66-2.93
Er 0.7500 0.6652 0.4156  6 S 2.62-2.74
Er 0.2500 0.3348 0.5844  6 S 2.62-2.74
Sc 0.7500 0.9354 0.6647  6 S 2.56-2.66
Sc 0.2500 0.0646 0.3353  6 S 2.56-2.66
S 0.7500 0.6118 0.0342  5 Er 2.78-2.90
S 0.2500 0.3882 0.9658  5 Er 2.78-2.90
S 0.7500 0.2359 0.2328  2 Sc 2.66, 3 Er 2.80-2.96
S 0.2500 0.7641 0.7672  2 Sc 2.66, 3 Er 2.80-2.96
S 0.7500 0.3092 0.7518  4 Er 2.62-2.86
S 0.2500 0.6908 0.2482  4 Er 2.62-2.86
S 0.7500 0.9824 0.8766  1 Sc 2.56, 2 Er 2.66
S 0.2500 0.0176 0.1234  1 Sc 2.56, 2 Er 2.66
S 0.7500 0.9037 0.4381  3 Sc 2.60-2.64, 1 Er 2.69
S 0.2500 0.0963 0.5619  3 Sc 2.60-2.64, 1 Er 2.69
S 0.7500 0.4195 0.4000  5 Er 2.73-2.92
S 0.2500 0.5805 0.6000  5 Er 2.73-2.92

2.
First-principles (GGA-PBE) data for an optimized crystal structure of ErSc3S6, as listed in Alexandria.

Calculated values
raw formation energy: -1.92 eV per atom
size of the total moment: 0.00 μB per atom
excess energy over the best structure of this formula in the dataset: 16 meV/atom
space-group type: R3
crystal system: trigonal
V: 221.7 Å³ per cell

Cell: 6.5666 6.5666 7.0430 Å, 62.21 62.21 60.00°
Closest atoms and distances in Å follow each position.
Fractional coordinates of all 10 atoms:
Er 0.8511 0.8511 0.4467  6 S 2.67-2.75
Sc 0.3466 0.3466 0.9602  6 S 2.58-2.62
Sc 0.6554 0.6554 0.0339  6 S 2.56-2.63
Sc 0.1527 0.1527 0.5419  6 S 2.57-2.63
S 0.9395 0.5401 0.2501  3 Sc 2.56-2.63, 1 Er 2.67
S 0.2704 0.9395 0.2501  3 Sc 2.56-2.63, 1 Er 2.67
S 0.5401 0.2704 0.2501  3 Sc 2.56-2.63, 1 Er 2.67
S 0.0581 0.4337 0.7557  3 Sc 2.57-2.63, 1 Er 2.75
S 0.7525 0.0581 0.7557  3 Sc 2.57-2.63, 1 Er 2.75
S 0.4337 0.7525 0.7557  3 Sc 2.57-2.63, 1 Er 2.75

Among the records above, which one has the lowest V?
ErSc3S6